## a
PBE GaBi2S, relaxed; mass density = 6.363 g cm⁻³; SG = No. 122
1.0
6.018 0.000 0.000
0.000 6.018 0.000
0.000 0.000 14.982
Ga Bi S
4 8 4
Cartesian
0.000 0.000 0.000
0.000 3.009 3.746
3.009 0.000 11.237
3.009 3.009 7.491
1.420 1.504 9.364
1.504 4.429 13.109
1.504 4.598 5.618
1.589 1.504 1.873
4.429 4.513 1.873
4.513 1.420 5.618
4.513 1.589 13.109
4.598 4.513 9.364
0.000 0.000 7.491
0.000 3.009 11.237
3.009 0.000 3.746
3.009 3.009 0.000

***

## b
PBE GaBi2S, relaxed; mass density = 8.889 g cm⁻³; SG = No. 225
1.0
7.296 0.000 0.000
0.000 7.296 0.000
0.000 0.000 7.296
Ga Bi S
4 8 4
Cartesian
0.000 0.000 0.000
0.000 3.648 3.648
3.648 0.000 3.648
3.648 3.648 0.000
1.824 1.824 1.824
1.824 1.824 5.472
1.824 5.472 1.824
1.824 5.472 5.472
5.472 1.824 1.824
5.472 1.824 5.472
5.472 5.472 1.824
5.472 5.472 5.472
0.000 0.000 3.648
0.000 3.648 0.000
3.648 0.000 0.000
3.648 3.648 3.648

***

b ends up most stable, edging out the next structure by 1.5 kJ/mol of atoms.